KYCu2O4 meta-GGA SCAN PBEsol geometry; energy relative to the elements, uncorrected = -1.923 eV/atom; spin magnetization = 0.000 μB per cell
1.0
3.825 0.000 0.000
0.000 3.825 0.000
0.000 0.000 6.990
K Y Cu O
1 1 2 4
direct
0.000 0.000 0.000
0.000 0.000 0.500
0.500 0.500 0.280
0.500 0.500 0.720
0.000 0.500 0.298
0.000 0.500 0.702
0.500 0.000 0.298
0.500 0.000 0.702


K3CuOs meta-GGA SCAN PBEsol geometry; calculated formation energy = 1478 meV/atom; spin magnetization = 2.087 μB per cell
1.0
5.835 0.000 0.000
0.000 5.835 0.000
0.000 0.000 5.835
K Cu Os
3 1 1
direct
0.000 0.000 0.500
0.000 0.500 0.000
0.500 0.000 0.000
0.000 0.000 0.000
0.500 0.500 0.500


Calculated D(E_F), 1.42 6.25 states/eV/f.u. (same order as the records).
Calculated E_tot, -13.360 -20.935 eV/atom (same order as the records).